The following is a DFT calculation (SCAN) of a PBEsol-optimized structure of SrMnNi2.

```
4
Lattice="0.000 3.167 3.167 3.167 0.000 3.167 3.167 3.167 0.000" Properties=species:S:1:pos:R:3 pbc="T T T"
Sr 0.000 0.000 0.000
Mn 1.583 1.583 1.583
Ni 3.167 3.167 3.167
Ni 4.750 4.750 4.750
```

- symmetry = F-43m
- formation energy from the elements (kJ/mol of atoms) = 54.06

=====

The following is a DFT calculation (SCAN) of a PBEsol-optimized structure of BeCrICl2.

```
5
Lattice="4.172 0.000 0.000 0.000 4.172 0.000 0.000 0.000 6.713" Properties=species:S:1:pos:R:3 pbc="T T T"
Be 0.000 0.000 0.000
Cr 0.000 0.000 3.356
I 2.086 2.086 3.356
Cl 0.000 2.086 0.000
Cl 2.086 0.000 0.000
```

- symmetry = P4/mmm
- energy relative to the elements, uncorrected (eV/atom) = -0.464

=====

The following is a DFT calculation (SCAN) of a PBEsol-optimized structure of Er6Al41Cr6.

```
106
Lattice="10.779 0.000 0.000 -5.390 9.335 0.000 0.000 0.000 17.231" Properties=species:S:1:pos:R:3 pbc="T T T"
Er -2.517 4.359 1.636
Er -2.527 4.378 6.932
Er -2.862 4.958 10.298
Er -2.873 4.976 15.595
Er 5.034 0.000 1.636
Er 2.517 4.359 15.595
Er 5.055 0.000 6.932
Er 2.527 4.378 10.298
Er 5.725 0.000 10.298
Er 2.862 4.958 6.932
Er 5.746 0.000 15.595
Er 2.873 4.976 1.636
Al -0.813 1.409 12.974
Al -0.833 1.443 1.987
Al -0.837 1.450 6.618
Al -1.354 2.346 9.137
Al -1.354 2.345 16.757
Al -4.036 6.990 0.474
Al -4.035 6.989 8.094
Al -4.553 7.885 10.613
Al -4.556 7.892 15.244
Al -4.576 7.927 4.256
Al -1.341 5.104 4.228
Al -1.640 5.622 13.003
Al 1.626 0.000 12.974
Al 0.813 1.409 4.256
Al 1.667 0.000 1.987
Al 1.674 0.000 6.618
Al 0.837 1.450 10.613
Al 0.833 1.443 15.244
Al -0.389 3.656 11.463
Al -2.418 7.170 5.768
Al -0.350 3.742 14.496
Al -2.324 7.161 2.735
Al 0.389 3.656 5.768
Al -2.029 7.844 11.463
Al 0.350 3.742 2.735
Al -1.974 7.767 14.496
Al 0.000 4.608 8.615
Al -1.399 7.031 8.615
Al 2.709 0.000 9.137
Al 2.707 0.000 16.757
Al 1.354 2.345 0.474
Al 1.354 2.346 8.094
Al 0.000 4.705 0.000
Al -1.315 6.983 0.000
Al 0.000 6.223 6.426
Al 0.000 6.223 10.805
Al 3.360 1.491 11.463
Al 2.971 2.165 5.768
Al 1.341 5.104 13.003
Al -0.299 7.944 4.228
Al 3.416 1.568 14.496
Al 3.066 2.174 2.735
Al 1.640 5.622 4.228
Al 0.299 7.944 13.003
Al 3.990 2.304 8.615
Al 1.315 6.983 0.000
Al 4.075 2.352 0.000
Al 1.399 7.031 8.615
Al 5.090 1.391 4.228
Al 3.750 3.713 13.003
Al 2.324 7.161 14.496
Al 1.974 7.767 2.735
Al 5.689 1.391 13.003
Al 4.049 4.231 4.228
Al 2.418 7.170 11.463
Al 2.029 7.844 5.768
Al 5.390 3.112 6.426
Al 5.390 3.112 10.805
Al 6.705 2.352 0.000
Al 5.390 4.630 0.000
Al 8.072 0.000 0.474
Al 8.071 0.000 8.094
Al 4.035 6.989 9.137
Al 4.036 6.990 16.757
Al 6.789 2.304 8.615
Al 5.390 4.727 8.615
Al 7.363 1.568 2.735
Al 5.040 5.593 14.496
Al 7.419 1.491 5.768
Al 5.001 5.679 11.463
Al 7.714 2.174 14.496
Al 5.740 5.593 2.735
Al 7.808 2.165 11.463
Al 5.779 5.679 5.768
Al 9.105 0.000 10.613
Al 9.113 0.000 15.244
Al 4.556 7.892 1.987
Al 4.553 7.885 6.618
Al 9.153 0.000 4.256
Al 4.576 7.927 12.974
Al 7.029 3.713 4.228
Al 6.730 4.231 13.003
Cr 0.000 0.000 0.000
Cr 0.000 0.000 8.615
Cr -1.410 2.443 4.323
Cr -3.979 6.892 12.908
Cr 2.821 0.000 4.323
Cr 1.410 2.443 12.908
Cr 0.000 6.223 2.300
Cr 0.000 6.223 14.931
Cr 5.390 3.112 2.300
Cr 5.390 3.112 14.931
Cr 7.958 0.000 12.908
Cr 3.979 6.892 4.323
```

- symmetry = P-31m
- formation energy from the elements (kJ/mol of atoms) = -30.22

=====

The following is a DFT calculation (SCAN) of a PBEsol-optimized structure of Fe2AgCl.

```
4
Lattice="1.419 0.819 8.062 -1.419 0.819 8.062 0.000 -1.638 8.062" Properties=species:S:1:pos:R:3 pbc="T T T"
Fe 0.000 0.000 5.884
Fe 0.000 0.000 18.302
Ag 0.000 0.000 0.000
Cl 0.000 0.000 12.093
```

- symmetry = R-3m
- energy relative to the elements, uncorrected (eV/atom) = 0.273

=====

The following is a DFT calculation (SCAN) of a PBEsol-optimized structure of MgSiRu.

```
3
Lattice="2.927 0.000 0.000 -1.463 2.535 0.000 0.000 0.000 6.227" Properties=species:S:1:pos:R:3 pbc="T T T"
Mg 0.000 0.000 0.000
Si 1.463 0.845 2.370
Ru 0.000 1.690 4.043
```

- symmetry = P3m1
- energy relative to the elements, uncorrected (eV/atom) = -0.127

=====

The following is a DFT calculation (SCAN) of a PBEsol-optimized structure of CaSc2Ta.

```
4
Lattice="1.580 0.912 10.960 -1.580 0.912 10.960 0.000 -1.824 10.960" Properties=species:S:1:pos:R:3 pbc="T T T"
Ca 0.000 0.000 0.000
Sc 0.000 0.000 3.137
Sc 0.000 0.000 29.742
Ta 0.000 0.000 16.440
```

- symmetry = R-3m
- formation energy from the elements (kJ/mol of atoms) = 35.81

=====

The following is a DFT calculation (SCAN) of a PBEsol-optimized structure of Cs3SbO3.

```
28
Lattice="9.107 0.000 0.000 0.000 9.107 0.000 0.000 0.000 9.107" Properties=species:S:1:pos:R:3 pbc="T T T"
Cs 0.150 0.150 0.150
Cs 2.030 2.524 6.583
Cs 2.068 6.621 7.040
Cs 2.486 2.486 2.486
Cs 2.524 6.583 2.030
Cs 4.404 8.958 4.703
Cs 4.703 4.404 8.958
Cs 6.583 2.030 2.524
Cs 6.621 7.040 2.068
Cs 7.040 2.068 6.621
Cs 7.078 7.078 7.078
Cs 8.958 4.703 4.404
Sb 0.026 9.082 4.528
Sb 4.528 0.026 9.082
Sb 4.579 4.579 4.579
Sb 9.082 4.528 0.026
O 0.048 1.904 4.203
O 0.350 9.059 6.458
O 1.904 4.203 0.048
O 2.649 4.904 4.602
O 4.203 0.048 1.904
O 4.505 7.203 8.757
O 4.602 2.649 4.904
O 4.904 4.602 2.649
O 6.458 0.350 9.059
O 7.203 8.757 4.505
O 8.757 4.505 7.203
O 9.059 6.458 0.350
```

- symmetry = P2_13
- energy relative to the elements, uncorrected (eV/atom) = -1.651

=====

The following is a DFT calculation (SCAN) of a PBEsol-optimized structure of SrTe2BrN.

```
5
Lattice="5.926 0.000 0.000 0.000 5.926 0.000 0.000 0.000 3.783" Properties=species:S:1:pos:R:3 pbc="T T T"
Sr 0.000 0.000 0.000
Te 0.000 2.963 1.892
Te 2.963 0.000 1.892
Br 2.963 2.963 1.892
N 2.963 2.963 0.000
```

- symmetry = P4/mmm
- energy relative to the elements, uncorrected (eV/atom) = 0.502

=====

no.,mass density (g cm⁻³),energy (eV per atom)
1,6.80,-17.6590
2,3.68,-15.5514
3,4.64,-14.0901
4,7.53,-18.6281
5,5.52,-16.7319
6,5.45,-25.8091
7,5.00,-25.8491
8,5.46,-24.6037